Density functional theory data (PBE) for crystalline Ti7Zn2Sn2 at its relaxed geometry.

Output
Its energy is -131.787 eV per cell. Its density of states at the Fermi level is 12.08 states/eV/f.u. The calculation puts the density at 5.95 Mg/m³. The calculation puts the energy of formation at -0.01 eV per atom.

Structure (CIF):
```
data_Ti7Zn2Sn2
_chemical_formula_sum 'Ti14 Zn4 Sn4'
_space_group_name_H-M_alt 'C 1 2/m 1'
_space_group_IT_number 12
_cell_length_a 10.186
_cell_length_b 9.073
_cell_length_c 4.784
_cell_angle_alpha 90.00
_cell_angle_beta 117.38
_cell_angle_gamma 90.00
loop_
_space_group_symop_operation_xyz
'x,y,z'
'-x,-y,-z'
'-x,y,-z'
'x,-y,z'
'x+1/2,y+1/2,z'
'-x+1/2,-y+1/2,-z'
'-x+1/2,y+1/2,-z'
'x+1/2,-y+1/2,z'
loop_
_atom_site_label
_atom_site_type_symbol
_atom_site_fract_x
_atom_site_fract_y
_atom_site_fract_z
_atom_site_occupancy
Ti1 Ti 0.000 0.000 0.000 1
Ti2 Ti 0.008 0.500 0.760 1
Ti3 Ti 0.194 0.194 0.192 1
Zn1 Zn 0.229 0.000 0.720 1
Sn1 Sn 0.000 0.210 0.500 1
```